# 1
Computed, not measured: a relaxed Tm3Tl2Rh crystal at the PBE-GGA level of DFT.

Results
Space-group type   C2/c, No. 15
Theoretical density   10.91 Mg/m³
E_form   -0.45 eV per atom
Energy above the lowest structure with this stoichiometry   0.370 eV per formula unit
DOS(E_F)   6.441 states/eV per cell

a = 9.3727 Å, b = 9.3727 Å, c = 7.1000 Å
α = 112.22°, β = 112.22°, γ = 32.74°
Closest atoms and distances in Å follow each position.
Positions (direct):
Tm 0.0199 0.9801 0.7500  2 Rh 2.64
Tm 0.3698 0.3700 0.3699  2 Rh 2.79
Tm 0.3700 0.3698 0.8699  2 Rh 2.79
Tm 0.6300 0.6302 0.1301  2 Rh 2.79
Tm 0.6302 0.6300 0.6301  2 Rh 2.79
Tm 0.9801 0.0199 0.2500  2 Rh 2.64
Tl 0.1923 0.1926 0.9432  7 Tm 3.18-3.43, 4 Tl 3.25-3.55
Tl 0.1926 0.1923 0.4432  7 Tm 3.18-3.43, 4 Tl 3.25-3.55
Tl 0.8074 0.8077 0.5568  7 Tm 3.18-3.43, 4 Tl 3.25-3.55
Tl 0.8077 0.8074 0.0568  7 Tm 3.18-3.43, 4 Tl 3.25-3.55
Rh 0.4796 0.5204 0.2500  6 Tm 2.64-2.79
Rh 0.5204 0.4796 0.7500  6 Tm 2.64-2.79

# 2
Computed, not measured: a relaxed NpCdAu4 crystal at the PBE-GGA level of DFT.

Results
Space-group type   F-43m, No. 216
Theoretical density   15.08 Mg/m³
E_form   -0.11 eV per atom
Energy above the lowest structure with this stoichiometry   0.321 eV per formula unit
DOS(E_F)   14.542 states/eV per cell

a = 5.6158 Å, b = 5.6158 Å, c = 5.6158 Å
α = 60.00°, β = 60.00°, γ = 60.00°
Closest atoms and distances in Å follow each position.
Positions (direct):
Np 0.0000 0.0000 0.0000  12 Au 3.29, 4 Cd 3.44
Cd 0.2500 0.2500 0.2500  12 Au 3.29, 4 Np 3.44
Au 0.1262 0.6246 0.6246  6 Au 2.80-2.82
Au 0.6246 0.1262 0.6246  6 Au 2.80-2.82
Au 0.6246 0.6246 0.1262  6 Au 2.80-2.82
Au 0.6246 0.6246 0.6246  6 Au 2.80-2.82

# 3
Computed, not measured: a relaxed CaScRh crystal at the PBE-GGA level of DFT.

Results
Space-group type   P4/nmm, No. 129
Theoretical density   4.37 Mg/m³
E_form   -0.61 eV per atom
Energy above the lowest structure with this stoichiometry   0.000 eV per formula unit
DOS(E_F)   2.626 states/eV per cell

a = 4.3874 Å, b = 4.3874 Å, c = 7.4206 Å
α = 90.00°, β = 90.00°, γ = 90.00°
Closest atoms and distances in Å follow each position.
Positions (direct):
Ca 0.2500 0.2500 0.1379  5 Rh 3.17-3.30, 4 Sc 3.47
Ca 0.7500 0.7500 0.8621  5 Rh 3.17-3.30, 4 Sc 3.47
Sc 0.2500 0.7500 0.5000  4 Rh 2.69
Sc 0.7500 0.2500 0.5000  4 Rh 2.69
Rh 0.2500 0.2500 0.7101  4 Sc 2.69
Rh 0.7500 0.7500 0.2898  4 Sc 2.69

# 4
Computed, not measured: a relaxed Na2BC crystal at the PBE-GGA level of DFT.

Results
Space-group type   Fm-3m, No. 225
Theoretical density   1.97 Mg/m³
E_form   1.89 eV per atom
Energy above the lowest structure with this stoichiometry   0.000 eV per formula unit
DOS(E_F)   7.288 states/eV per cell

a = 6.1426 Å, b = 6.1426 Å, c = 6.1426 Å
α = 90.00°, β = 90.00°, γ = 90.00°
Closest atoms and distances in Å follow each position.
Positions (direct):
Na 0.2500 0.2500 0.2500  4 B 2.66, 4 C 2.66
Na 0.2500 0.2500 0.7500  4 B 2.66, 4 C 2.66
Na 0.2500 0.7500 0.2500  4 B 2.66, 4 C 2.66
Na 0.2500 0.7500 0.7500  4 B 2.66, 4 C 2.66
Na 0.7500 0.2500 0.2500  4 B 2.66, 4 C 2.66
Na 0.7500 0.2500 0.7500  4 B 2.66, 4 C 2.66
Na 0.7500 0.7500 0.2500  4 B 2.66, 4 C 2.66
Na 0.7500 0.7500 0.7500  4 B 2.66, 4 C 2.66
B 0.0000 0.0000 0.0000  8 Na 2.66
B 0.0000 0.5000 0.5000  8 Na 2.66
B 0.5000 0.0000 0.5000  8 Na 2.66
B 0.5000 0.5000 0.0000  8 Na 2.66
C 0.0000 0.0000 0.5000  8 Na 2.66
C 0.0000 0.5000 0.0000  8 Na 2.66
C 0.5000 0.0000 0.0000  8 Na 2.66
C 0.5000 0.5000 0.5000  8 Na 2.66